## Na14Mn2O9 (PBE with a Hubbard U)

Data for a relaxed Na14Mn2O9 crystal.

a b c (Å): 6.7374 6.7374 9.4287
angles (deg): 90.00 90.00 120.00
Space group P-3 (No. 147)
Symmetry-distinct sites (fractional):
Na 0.0000 0.0000 0.2480
Na 0.0410 0.6800 0.4085
Na 0.0671 0.3767 0.0913
Mn 0.3333 0.6667 0.7617
O 0.0000 0.0000 0.5000
O 0.0522 0.3573 0.8372
O 0.3333 0.6667 0.5383

Its crystal system is trigonal. Its raw total energy is -110.7 eV/f.u.